Record 1
VASP calculation (meta-GGA SCAN) on a PBEsol-optimized structure of LaCdRh2.

Properties
* symmetry: No. 99
* calculated formation energy: -169 meV per atom
* magnetization: 0.00 μB/cell

Unit cell a=3.4187 b=3.4187 c=6.8403 alpha=90.00 beta=90.00 gamma=90.00
With the nearest neighbours (Å) after each atom.
Fractional positions:
Rh 0.0000 0.0000 0.0534  4 Rh 2.62, 1 Cd 2.69
Cd 0.0000 0.0000 0.4467  5 Rh 2.69-2.94
Rh 0.5000 0.5000 0.2010  4 Rh 2.62, 1 La 2.75
La 0.5000 0.5000 0.7988  5 Rh 2.75-2.98

***

Record 2
VASP calculation (meta-GGA SCAN) on a PBEsol-optimized structure of La3CdRh.

Properties
* symmetry: No. 221
* calculated formation energy: -426 meV per atom
* magnetization: 0.00 μB/cell

Unit cell a=5.4528 b=5.4528 c=5.4528 alpha=90.00 beta=90.00 gamma=90.00
With the nearest neighbours (Å) after each atom.
Fractional positions:
La 0.0000 0.0000 0.5000  2 Rh 2.73
La 0.0000 0.5000 0.0000  2 Rh 2.73
La 0.5000 0.0000 0.0000  2 Rh 2.73
Rh 0.0000 0.0000 0.0000  6 La 2.73
Cd 0.5000 0.5000 0.5000  12 La 3.86

***

Record 3
VASP calculation (meta-GGA SCAN) on a PBEsol-optimized structure of LaCdRh2.

Properties
* symmetry: No. 123
* calculated formation energy: -525 meV per atom
* magnetization: 0.00 μB/cell

Unit cell a=3.6778 b=4.4582 c=4.4582 alpha=90.00 beta=90.00 gamma=90.00
With the nearest neighbours (Å) after each atom.
Fractional positions:
Rh 0.0000 0.0000 0.5000  4 Cd 2.89, 4 La 2.89, 4 Rh 3.15
La 0.5000 0.0000 0.0000  8 Rh 2.89, 4 Cd 3.15
Rh 0.0000 0.5000 0.0000  4 Cd 2.89, 4 La 2.89, 4 Rh 3.15
Cd 0.5000 0.5000 0.5000  8 Rh 2.89, 4 La 3.15

***

Record 4
VASP calculation (meta-GGA SCAN) on a PBEsol-optimized structure of LaCd3Ru.

Properties
* E above lowest polymorph: 0.000 eV per atom
* symmetry: No. 221
* calculated formation energy: 105 meV per atom
* magnetization: 0.00 μB/cell

Unit cell a=5.0526 b=5.0526 c=5.0526 alpha=90.00 beta=90.00 gamma=90.00
With the nearest neighbours (Å) after each atom.
Fractional positions:
Ru 0.0000 0.0000 0.0000  6 Cd 2.53
La 0.5000 0.5000 0.5000  12 Cd 3.57
Cd 0.0000 0.0000 0.5000  2 Ru 2.53
Cd 0.5000 0.0000 0.0000  2 Ru 2.53
Cd 0.0000 0.5000 0.0000  2 Ru 2.53

***

Record 5
VASP calculation (meta-GGA SCAN) on a PBEsol-optimized structure of LaCd3Ru.

Properties
* E above lowest polymorph: 1.605 eV per atom
* symmetry: No. 221
* calculated formation energy: 1709 meV per atom
* magnetization: 1.64 μB/cell

Unit cell a=5.7119 b=5.7119 c=5.7119 alpha=90.00 beta=90.00 gamma=90.00
With the nearest neighbours (Å) after each atom.
Fractional positions:
Cd 0.0000 0.5000 0.0000  2 La 2.86
La 0.0000 0.0000 0.0000  6 Cd 2.86
Cd 0.5000 0.0000 0.0000  2 La 2.86
Ru 0.5000 0.5000 0.5000  12 Cd 4.04
Cd 0.0000 0.0000 0.5000  2 La 2.86

***

Record 6
VASP calculation (meta-GGA SCAN) on a PBEsol-optimized structure of La4CdRu.

Properties
* symmetry: No. 216
* calculated formation energy: -375 meV per atom
* magnetization: 0.00 μB/cell

Unit cell a=9.8619 b=9.8619 c=9.8619 alpha=60.00 beta=60.00 gamma=60.00
With the nearest neighbours (Å) after each atom.
Fractional positions:
La 0.6533 0.0400 0.6533  3 Ru 2.93
La 0.0400 0.6533 0.6533  3 Ru 2.93
Ru 0.8625 0.8625 0.4124  6 La 2.81-2.93
La 0.6533 0.6533 0.0400  3 Ru 2.93
La 0.6533 0.6533 0.6533  3 Ru 2.93
La 0.4420 0.0580 0.4420  2 Cd 3.40, 10 La 3.51-3.79, 2 Ru 3.52
Cd 0.4218 0.4218 0.7347  3 Cd 3.09, 3 La 3.40
La 0.1892 0.1892 0.8108  2 Ru 2.81
La 0.4420 0.0580 0.0580  2 Cd 3.40, 10 La 3.51-3.79, 2 Ru 3.52
La 0.8108 0.1892 0.1892  2 Ru 2.81
Ru 0.8625 0.8625 0.8625  6 La 2.81-2.93
La 0.1892 0.8108 0.1892  2 Ru 2.81
La 0.8108 0.8108 0.1892  2 Ru 2.81
Cd 0.7347 0.4218 0.4218  3 Cd 3.09, 3 La 3.40
La 0.0580 0.4420 0.0580  2 Cd 3.40, 10 La 3.51-3.79, 2 Ru 3.52
La 0.0580 0.4420 0.4420  2 Cd 3.40, 10 La 3.51-3.79, 2 Ru 3.52
Ru 0.8625 0.4124 0.8625  6 La 2.81-2.93
Ru 0.4124 0.8625 0.8625  6 La 2.81-2.93
La 0.0580 0.0580 0.4420  2 Cd 3.40, 10 La 3.51-3.79, 2 Ru 3.52
La 0.4420 0.4420 0.0580  2 Cd 3.40, 10 La 3.51-3.79, 2 Ru 3.52
La 0.8108 0.1892 0.8108  2 Ru 2.81
Cd 0.4218 0.7347 0.4218  3 Cd 3.09, 3 La 3.40
La 0.1892 0.8108 0.8108  2 Ru 2.81
Cd 0.4218 0.4218 0.4218  3 Cd 3.09, 3 La 3.40

***

Record 7
VASP calculation (meta-GGA SCAN) on a PBEsol-optimized structure of La2CdRu.

Properties
* symmetry: No. 119
* calculated formation energy: -84 meV per atom
* magnetization: 0.00 μB/cell

Unit cell a=4.9805 b=4.9899 c=4.9805 alpha=119.94 beta=90.00 gamma=119.94
With the nearest neighbours (Å) after each atom.
Fractional positions:
Cd 0.2500 0.5000 0.7500  4 Ru 3.05, 4 La 3.05
La 0.0000 0.0000 0.0000  4 La 3.05, 4 Cd 3.05
La 0.7500 0.5000 0.2500  4 La 3.05, 4 Ru 3.05
Ru 0.5000 0.0000 0.5000  4 Cd 3.05, 4 La 3.05

***

Record 8
VASP calculation (meta-GGA SCAN) on a PBEsol-optimized structure of LaCdRu3.

Properties
* symmetry: No. 221
* calculated formation energy: 1473 meV per atom
* magnetization: 0.00 μB/cell

Unit cell a=4.7920 b=4.7920 c=4.7920 alpha=90.00 beta=90.00 gamma=90.00
With the nearest neighbours (Å) after each atom.
Fractional positions:
Ru 0.0000 0.0000 0.5000  2 Cd 2.40
Ru 0.0000 0.5000 0.0000  2 Cd 2.40
Cd 0.0000 0.0000 0.0000  6 Ru 2.40
Ru 0.5000 0.0000 0.0000  2 Cd 2.40
La 0.5000 0.5000 0.5000  12 Ru 3.39